[1]
The following is a PBE-GGA calculation of a relaxed ZrMoPt crystal, from OQMD.

## Properties
As for the space-group type: F-43m. As for the final energy: -7.979 eV per atom. For the volume, the calculation gives 20.81 Å³ per atom. As for the distance to the lowest polymorph of the same formula: 389 meV per atom.

```
data_ZrMoPt
_space_group_name_H-M_alt 'P 1'
_space_group_IT_number 1
_space_group_name_Hall 'P 1'
_cell_length_a 4.453
_cell_length_b 4.453
_cell_length_c 4.453
_cell_angle_alpha 60.00
_cell_angle_beta 60.00
_cell_angle_gamma 60.00
loop_
_atom_site_label
_atom_site_type_symbol
_atom_site_fract_x
_atom_site_fract_y
_atom_site_fract_z
Mo1 Mo 0.250 0.250 0.250
Pt1 Pt 0.750 0.750 0.750
Zr1 Zr 0.000 0.000 0.000
```



[2]
The following is a PBE-GGA calculation of a relaxed KCu3MoSe4 crystal, from OQMD.

## Properties
As for the space-group type: P-43m. As for the final energy: -4.378 eV per atom. For the volume, the calculation gives 25.59 Å³ per atom.

```
data_KCu3MoSe4
_space_group_name_H-M_alt 'P 1'
_space_group_IT_number 1
_space_group_name_Hall 'P 1'
_cell_length_a 6.130
_cell_length_b 6.130
_cell_length_c 6.130
_cell_angle_alpha 90.00
_cell_angle_beta 90.00
_cell_angle_gamma 90.00
loop_
_atom_site_label
_atom_site_type_symbol
_atom_site_fract_x
_atom_site_fract_y
_atom_site_fract_z
Cu1 Cu 0.000 0.500 0.500
Cu2 Cu 0.500 0.500 0.000
Mo1 Mo 0.500 0.500 0.500
Cu3 Cu 0.500 0.000 0.500
Se1 Se 0.274 0.726 0.726
Se2 Se 0.726 0.726 0.274
K1 K 0.000 0.000 0.000
Se3 Se 0.726 0.274 0.726
Se4 Se 0.274 0.274 0.274
```



[3]
The following is a PBE-GGA calculation of a relaxed AcNp crystal, from OQMD.

## Properties
As for the space-group type: P-6m2. As for the final energy: -7.724 eV per atom. For the volume, the calculation gives 34.01 Å³ per atom. As for the distance to the lowest polymorph of the same formula: 0 meV per atom.

```
data_AcNp
_space_group_name_H-M_alt 'P 1'
_space_group_IT_number 1
_space_group_name_Hall 'P 1'
_cell_length_a 3.611
_cell_length_b 3.611
_cell_length_c 6.023
_cell_angle_alpha 90.00
_cell_angle_beta 90.00
_cell_angle_gamma 120.00
loop_
_atom_site_label
_atom_site_type_symbol
_atom_site_fract_x
_atom_site_fract_y
_atom_site_fract_z
Ac1 Ac 0.667 0.333 0.750
Np1 Np 0.333 0.667 0.250
```



[4]
The following is a PBE-GGA calculation of a relaxed CoReSiAg crystal, from OQMD.

## Properties
As for the space-group type: F-43m. As for the final energy: -6.524 eV per atom. For the volume, the calculation gives 13.67 Å³ per atom. As for the distance to the lowest polymorph of the same formula: 0 meV per atom.

```
data_CoReSiAg
_space_group_name_H-M_alt 'P 1'
_space_group_IT_number 1
_space_group_name_Hall 'P 1'
_cell_length_a 4.261
_cell_length_b 4.261
_cell_length_c 4.261
_cell_angle_alpha 60.00
_cell_angle_beta 60.00
_cell_angle_gamma 60.00
loop_
_atom_site_label
_atom_site_type_symbol
_atom_site_fract_x
_atom_site_fract_y
_atom_site_fract_z
Si1 Si 0.000 0.000 0.000
Re1 Re 0.250 0.250 0.250
Ag1 Ag 0.500 0.500 0.500
Co1 Co 0.750 0.750 0.750
```



[5]
The following is a PBE-GGA calculation of a relaxed LiSiIr2 crystal, from OQMD.

## Properties
As for the space-group type: P6_3/mmc. As for the final energy: -6.357 eV per atom. For the volume, the calculation gives 14.54 Å³ per atom.

```
data_LiSiIr2
_space_group_name_H-M_alt 'P 1'
_space_group_IT_number 1
_space_group_name_Hall 'P 1'
_cell_length_a 4.291
_cell_length_b 4.291
_cell_length_c 7.293
_cell_angle_alpha 90.00
_cell_angle_beta 90.00
_cell_angle_gamma 120.00
loop_
_atom_site_label
_atom_site_type_symbol
_atom_site_fract_x
_atom_site_fract_y
_atom_site_fract_z
Ir1 Ir 0.333 0.667 0.578
Si1 Si 0.667 0.333 0.750
Li1 Li 0.000 0.000 0.500
Si2 Si 0.333 0.667 0.250
Ir2 Ir 0.667 0.333 0.422
Ir3 Ir 0.333 0.667 0.922
Li2 Li 0.000 0.000 0.000
Ir4 Ir 0.667 0.333 0.078
```



[6]
The following is a PBE-GGA calculation of a relaxed TaCoTe2 crystal, from OQMD.

## Properties
As for the space-group type: P2_1/c. As for the final energy: -6.638 eV per atom. For the volume, the calculation gives 22.83 Å³ per atom.

```
data_TaCoTe2
_space_group_name_H-M_alt 'P 1'
_space_group_IT_number 1
_space_group_name_Hall 'P 1'
_cell_length_a 8.258
_cell_length_b 6.315
_cell_length_c 7.784
_cell_angle_alpha 90.00
_cell_angle_beta 115.89
_cell_angle_gamma 90.00
loop_
_atom_site_label
_atom_site_type_symbol
_atom_site_fract_x
_atom_site_fract_y
_atom_site_fract_z
Co1 Co 0.391 0.852 0.941
Ta1 Ta 0.487 0.018 0.693
Te1 Te 0.184 0.750 0.092
Te2 Te 0.816 0.250 0.908
Te3 Te 0.184 0.750 0.592
Te4 Te 0.271 0.257 0.361
Ta2 Ta 0.513 0.518 0.807
Te5 Te 0.729 0.743 0.639
Co2 Co 0.609 0.148 0.059
Ta3 Ta 0.513 0.982 0.307
Te6 Te 0.816 0.250 0.408
Te7 Te 0.271 0.243 0.861
Co3 Co 0.391 0.648 0.441
Co4 Co 0.609 0.352 0.559
Te8 Te 0.729 0.757 0.139
Ta4 Ta 0.487 0.482 0.193
```



[7]
The following is a PBE-GGA calculation of a relaxed TmBIr crystal, from OQMD.

## Properties
As for the space-group type: F-43m. As for the final energy: -6.842 eV per atom. For the volume, the calculation gives 15.94 Å³ per atom. As for the distance to the lowest polymorph of the same formula: 0 meV per atom.

```
data_TmBIr
_space_group_name_H-M_alt 'P 1'
_space_group_IT_number 1
_space_group_name_Hall 'P 1'
_cell_length_a 4.074
_cell_length_b 4.074
_cell_length_c 4.074
_cell_angle_alpha 60.00
_cell_angle_beta 60.00
_cell_angle_gamma 60.00
loop_
_atom_site_label
_atom_site_type_symbol
_atom_site_fract_x
_atom_site_fract_y
_atom_site_fract_z
Ir1 Ir 0.250 0.250 0.250
B1 B 0.000 0.000 0.000
Tm1 Tm 0.750 0.750 0.750
```



[8]
The following is a PBE-GGA calculation of a relaxed K2Hf crystal, from OQMD.

## Properties
As for the space-group type: P6_3/mmc. As for the final energy: -2.842 eV per atom. For the volume, the calculation gives 43.40 Å³ per atom. As for the distance to the lowest polymorph of the same formula: 0 meV per atom.

```
data_K2Hf
_space_group_name_H-M_alt 'P 1'
_space_group_IT_number 1
_space_group_name_Hall 'P 1'
_cell_length_a 7.745
_cell_length_b 7.745
_cell_length_c 10.025
_cell_angle_alpha 90.00
_cell_angle_beta 90.00
_cell_angle_gamma 120.00
loop_
_atom_site_label
_atom_site_type_symbol
_atom_site_fract_x
_atom_site_fract_y
_atom_site_fract_z
K1 K 0.187 0.813 0.250
K2 K 0.187 0.374 0.250
Hf1 Hf 0.667 0.333 0.122
K3 K 0.374 0.187 0.750
Hf2 Hf 0.667 0.333 0.378
K4 K 0.000 0.000 0.500
Hf3 Hf 0.333 0.667 0.622
K5 K 0.000 0.000 0.000
K6 K 0.813 0.187 0.750
K7 K 0.813 0.626 0.750
K8 K 0.626 0.813 0.250
Hf4 Hf 0.333 0.667 0.878
```



[9]
The following is a PBE-GGA calculation of a relaxed TcB4Ir crystal, from OQMD.

## Properties
As for the space-group type: Immm. As for the final energy: -7.407 eV per atom. For the volume, the calculation gives 8.90 Å³ per atom. As for the distance to the lowest polymorph of the same formula: 25 meV per atom.

```
data_TcB4Ir
_space_group_name_H-M_alt 'P 1'
_space_group_IT_number 1
_space_group_name_Hall 'P 1'
_cell_length_a 4.548
_cell_length_b 4.548
_cell_length_c 4.548
_cell_angle_alpha 141.29
_cell_angle_beta 110.63
_cell_angle_gamma 82.38
loop_
_atom_site_label
_atom_site_type_symbol
_atom_site_fract_x
_atom_site_fract_y
_atom_site_fract_z
B1 B 0.913 0.243 0.670
Tc1 Tc 0.500 0.500 0.000
B2 B 0.573 0.243 0.330
Ir1 Ir 0.000 0.000 0.000
B3 B 0.087 0.757 0.330
B4 B 0.427 0.757 0.670
```



[10]
The following is a PBE-GGA calculation of a relaxed SrLi3Nd2Pb3 crystal, from OQMD.

## Properties
As for the space-group type: P-6m2. As for the final energy: -3.629 eV per atom. For the volume, the calculation gives 27.14 Å³ per atom.

```
data_SrLi3Nd2Pb3
_space_group_name_H-M_alt 'P 1'
_space_group_IT_number 1
_space_group_name_Hall 'P 1'
_cell_length_a 4.905
_cell_length_b 4.905
_cell_length_c 11.725
_cell_angle_alpha 90.00
_cell_angle_beta 90.00
_cell_angle_gamma 120.00
loop_
_atom_site_label
_atom_site_type_symbol
_atom_site_fract_x
_atom_site_fract_y
_atom_site_fract_z
Sr1 Sr 0.000 0.000 0.000
Li1 Li 0.667 0.333 0.199
Pb1 Pb 0.333 0.667 0.192
Pb2 Pb 0.333 0.667 0.808
Li2 Li 0.333 0.667 0.500
Nd1 Nd 0.000 0.000 0.336
Li3 Li 0.667 0.333 0.801
Pb3 Pb 0.667 0.333 0.500
Nd2 Nd 0.000 0.000 0.664
```



[11]
The following is a PBE-GGA calculation of a relaxed DyLuNb2Si2 crystal, from OQMD.

## Properties
As for the space-group type: P4mm. As for the final energy: -7.323 eV per atom. For the volume, the calculation gives 20.39 Å³ per atom.

```
data_DyLuNb2Si2
_space_group_name_H-M_alt 'P 1'
_space_group_IT_number 1
_space_group_name_Hall 'P 1'
_cell_length_a 3.991
_cell_length_b 3.991
_cell_length_c 7.682
_cell_angle_alpha 90.00
_cell_angle_beta 90.00
_cell_angle_gamma 90.00
loop_
_atom_site_label
_atom_site_type_symbol
_atom_site_fract_x
_atom_site_fract_y
_atom_site_fract_z
Si1 Si 0.000 0.000 0.755
Si2 Si 0.500 0.500 0.243
Dy1 Dy 0.000 0.000 0.356
Nb1 Nb 0.500 0.000 0.999
Nb2 Nb 0.000 0.500 0.999
Lu1 Lu 0.500 0.500 0.649
```



[12]
The following is a PBE-GGA calculation of a relaxed DyTm2Zn3Ir2Pt crystal, from OQMD.

## Properties
As for the space-group type: Amm2. As for the final energy: -5.378 eV per atom. For the volume, the calculation gives 18.99 Å³ per atom.

```
data_DyTm2Zn3Ir2Pt
_space_group_name_H-M_alt 'P 1'
_space_group_IT_number 1
_space_group_name_Hall 'P 1'
_cell_length_a 3.860
_cell_length_b 7.159
_cell_length_c 7.159
_cell_angle_alpha 120.22
_cell_angle_beta 90.00
_cell_angle_gamma 90.00
loop_
_atom_site_label
_atom_site_type_symbol
_atom_site_fract_x
_atom_site_fract_y
_atom_site_fract_z
Tm1 Tm 0.000 0.594 0.000
Ir1 Ir 0.500 0.669 0.332
Zn1 Zn 0.500 0.255 0.000
Tm2 Tm 0.000 0.000 0.594
Dy1 Dy 0.000 0.408 0.408
Pt1 Pt 0.000 0.998 0.998
Zn2 Zn 0.500 0.744 0.744
Ir2 Ir 0.500 0.332 0.669
Zn3 Zn 0.500 0.000 0.255
```